First-principles (PBE) data for a relaxed NbHgS2 crystal, as listed in the Alexandria database.

Cell and atoms, written as POSCAR:
```
NbHgS2
1.0
-12.186 4.143 5.189
10.606 -6.920 -5.676
1.041 -1.186 3.392
S Nb Hg
4 2 2
direct
0.216 0.784 0.250
0.784 0.216 0.750
0.879 0.121 0.250
0.121 0.879 0.750
0.313 0.687 0.250
0.687 0.313 0.750
0.042 0.958 0.250
0.958 0.042 0.750
```

Formation energy (no corrections) (eV per formula unit): -2.24
Total magnetization (Bohr magnetons per cell): 0.0
Calculated volume (Å³ per cell): 167